VASP calculation (meta-GGA SCAN) on CaTlIn at its PBEsol-relaxed geometry.

Its calculated density is 7.3 Mg/m³. The energy of formation from the pure elements is -0.370 eV/atom. The value obtained for the density of states at the Fermi level is 1.168 states/eV/f.u.

The space group is I4mm (No. 107) and the conventional cell measures 3.763, 3.763 and 11.465 Å, with angles of 90.00, 90.00 and 90.00 degrees. The inequivalent atoms are Ca at (0.000, 0.000, 0.000), Tl at (0.000, 0.000, 0.677) and In at (0.000, 0.000, 0.322).